Here is crystalline Ac8Co3SCl4 at its relaxed geometry from Alexandria via LeMat-Bulk. Energies are from GGA-PBE.

abc: 8.5598 8.5598 23.5911
angles: 90.00 90.00 120.00
Space group R-3m (No. 166, hexagonal axes)
Symmetry-distinct sites (fractional):
Ac (0.0000, 0.0000, 0.2318) x6
Ac (0.0142, 0.5071, 0.7652) x18
Co (0.0000, 0.5000, 0.5000) x9
S (0.0000, 0.0000, 0.5000) x3
Cl (0.0000, 0.0000, 0.0000) x3
Cl (0.0000, 0.5000, 0.0000) x9

Results
E_form (uncorrected) (eV/atom): -1.043